Entry w
Below is crystalline AcCoSb at its relaxed geometry, with properties calculated at the PBE level.

The value obtained for the total magnetic moment is 8.2 Bohr magnetons per cell.

The structure belongs to space group F-43m (No. 216); the cell edges are 7.3759, 7.3759 and 7.3759 Å and the angles 90.00°, 90.00° and 90.00°. The asymmetric unit holds Ac at (0.0000, 0.0000, 0.0000), Co at (0.2500, 0.2500, 0.7500) and Sb at (0.2500, 0.2500, 0.2500).

=====

Entry x
Below is crystalline AcCoSb at its relaxed geometry, with properties calculated at the PBE level.

The value obtained for the total magnetic moment is 4.0 Bohr magnetons per cell.

The structure belongs to space group F-43m (No. 216); the cell edges are 6.7942, 6.7942 and 6.7942 Å and the angles 90.00°, 90.00° and 90.00°. The asymmetric unit holds Ac at (0.0000, 0.0000, 0.0000), Co at (0.2500, 0.2500, 0.2500) and Sb at (0.0000, 0.0000, 0.5000).

=====

Relative to the most stable one, in eV/atom, the structures come out at entry w 0.817; entry x 0.000.

=====

Entry w
Below is crystalline CsAcDy at its relaxed geometry, with properties calculated at the PBE level.

The value obtained for the total magnetic moment is 8.5 Bohr magnetons per cell.

The structure belongs to space group F-43m (No. 216); the cell edges are 8.8743, 8.8743 and 8.8743 Å and the angles 90.00°, 90.00° and 90.00°. The asymmetric unit holds Cs at (0.0000, 0.0000, 0.0000), Ac at (0.0000, 0.0000, 0.5000) and Dy at (0.2500, 0.2500, 0.7500).

=====

Entry x
Below is crystalline CsAcDy at its relaxed geometry, with properties calculated at the PBE level.

The value obtained for the total magnetic moment is 0.2 Bohr magnetons per cell.

The structure belongs to space group F-43m (No. 216); the cell edges are 8.2422, 8.2422 and 8.2422 Å and the angles 90.00°, 90.00° and 90.00°. The asymmetric unit holds Cs at (0.0000, 0.0000, 0.0000), Ac at (0.2500, 0.2500, 0.2500) and Dy at (0.2500, 0.2500, 0.7500).

=====

Relative to the most stable one, in eV/atom, the structures come out at entry w 0.000; entry x 0.043.

=====

Entry w
Below is crystalline CsAcEr at its relaxed geometry, with properties calculated at the PBE level.

The value obtained for the total magnetic moment is 9.4 Bohr magnetons per cell.

The structure belongs to space group F-43m (No. 216); the cell edges are 8.8508, 8.8508 and 8.8508 Å and the angles 90.00°, 90.00° and 90.00°. The asymmetric unit holds Cs at (0.0000, 0.0000, 0.0000), Ac at (0.0000, 0.0000, 0.5000) and Er at (0.2500, 0.2500, 0.7500).

=====

Entry x
Below is crystalline CsAcEr at its relaxed geometry, with properties calculated at the PBE level.

The value obtained for the total magnetic moment is 0.4 Bohr magnetons per cell.

The structure belongs to space group F-43m (No. 216); the cell edges are 8.2504, 8.2504 and 8.2504 Å and the angles 90.00°, 90.00° and 90.00°. The asymmetric unit holds Cs at (0.0000, 0.0000, 0.0000), Ac at (0.2500, 0.2500, 0.2500) and Er at (0.2500, 0.2500, 0.7500).

=====

Relative to the most stable one, in eV/atom, the structures come out at entry w 0.000; entry x 0.055.

=====

Entry w
Below is crystalline CsAcGd at its relaxed geometry, with properties calculated at the PBE level.

The value obtained for the total magnetic moment is 0.0 Bohr magnetons per cell.

The structure belongs to space group F-43m (No. 216); the cell edges are 8.2588, 8.2588 and 8.2588 Å and the angles 90.00°, 90.00° and 90.00°. The asymmetric unit holds Cs at (0.0000, 0.0000, 0.0000), Ac at (0.2500, 0.2500, 0.7500) and Gd at (0.2500, 0.2500, 0.2500).

=====

Entry x
Below is crystalline CsAcGd at its relaxed geometry, with properties calculated at the PBE level.

The value obtained for the total magnetic moment is 2.5 Bohr magnetons per cell.

The structure belongs to space group F-43m (No. 216); the cell edges are 8.8881, 8.8881 and 8.8881 Å and the angles 90.00°, 90.00° and 90.00°. The asymmetric unit holds Cs at (0.0000, 0.0000, 0.0000), Ac at (0.2500, 0.2500, 0.2500) and Gd at (0.0000, 0.0000, 0.5000).

=====

Relative to the most stable one, in eV/atom, the structures come out at entry w 0.000; entry x 0.049.